The following is a DFT calculation (PBE) of crystalline HfTi6Ge4 at its relaxed geometry.

abc: 6.6964 6.6964 6.6964
angles: 89.56 120.25 120.25
Last column: magnetic moment on the atom in μB.
Element x y z (fractional)
Ti  0.5000  0.0000  0.5000  0.14
Hf  0.0000  0.0000  0.0000  0.00
Ti  0.0000  0.8185  0.5122  0.30
Ti  0.6938  0.1815  0.1815  0.30
Ge  0.0000  0.1779  0.6262  -0.01
Ge  0.5517  0.3738  0.3738  -0.01
Ti  0.3062  0.4878  0.4878  0.30
Ge  0.0000  0.6262  0.1779  -0.01
Ge  0.4483  0.8221  0.8221  -0.01
Ti  0.5000  0.5000  0.0000  0.14
Ti  0.0000  0.5122  0.8185  0.30

Computed properties:
Its density of states at the Fermi level is 1.053 states/eV per atom. As for the crystal system: tetragonal. The value obtained for the density is 5.9 g cm⁻³. For the formation energy, the calculation gives -199 meV/atom.

The following is a DFT calculation (PBE) of crystalline Hf5TiGe3 at its relaxed geometry.

abc: 6.5688 6.5688 9.5742
angles: 79.12 79.12 78.46
Element x y z (fractional)
Ge  0.7137  0.7137  0.8469
Ge  0.2863  0.2863  0.1531
Ge  0.7397  0.7397  0.4363
Ti  0.0181  0.0181  0.7472
Hf  0.6114  0.0363  0.6390
Ge  0.0000  0.0000  0.5000
Hf  0.9637  0.3886  0.3610
Hf  0.3886  0.9637  0.3610
Hf  0.4720  0.4720  0.3306
Hf  0.0363  0.6114  0.6390
Ti  0.9819  0.9819  0.2528
Ge  0.0000  0.0000  0.0000
Hf  0.2648  0.2648  0.8744
Hf  0.5280  0.5280  0.6694
Hf  0.7352  0.7352  0.1256
Hf  0.3186  0.6814  0.0000
Hf  0.6814  0.3186  0.0000
Ge  0.2603  0.2603  0.5637

Computed properties:
Its density of states at the Fermi level is 0.637 states/eV per atom. As for the crystal system: monoclinic. The value obtained for the density is 9.8 g cm⁻³. For the formation energy, the calculation gives -79 meV/atom.